A relaxed structure of Ca2CoOs2. Source: the Alexandria database, functional PBE.

Results
**Relative energy among the computed polymorphs**: 0.000 eV per atom
**Formation enthalpy at 0 K**: 353 meV per atom
**Energy**: -63.6 eV per cell
**Magnetization**: 0.00 μB per cell

abc: 6.367 6.367 4.789
angles: 90.00 90.00 90.00
Atoms (fractional coordinates):
Ca: 0.179 0.321 0.000
Ca: 0.321 0.821 0.000
Ca: 0.679 0.179 0.000
Ca: 0.821 0.679 0.000
Co: 0.000 0.000 0.500
Co: 0.500 0.500 0.500
Os: 0.131 0.631 0.500
Os: 0.369 0.131 0.500
Os: 0.631 0.869 0.500
Os: 0.869 0.369 0.500